[1]
Computed, not measured: a geometry-optimized Ta2TcAu4 structure at the GGA-PBE level of DFT.

Unit cell a=5.0962 b=5.0962 c=7.4321 alpha=69.95 beta=69.95 gamma=90.00
Closest atoms and distances in Å follow each position.
Positions (direct):
Au1 0.7965 0.7965 0.4069  1 Ta 2.63, 1 Tc 2.65
Au2 0.2035 0.2035 0.5931  1 Ta 2.63, 1 Tc 2.65
Au3 0.0000 0.5000 0.0000  2 Tc 2.55, 4 Ta 2.83
Au4 0.5000 0.0000 0.0000  2 Tc 2.55, 4 Ta 2.83
Tc1 0.0000 0.0000 0.0000  6 Au 2.55-2.65
Ta1 0.5945 0.5945 0.8109  1 Ta 2.46, 1 Au 2.63
Ta2 0.4055 0.4055 0.1891  1 Ta 2.46, 1 Au 2.63

Calculated formation energy ... 1.047 eV per atom
E_tot ... -5.693 eV per atom
Space-group type ... No. 139
D(E_F) ... 6.6 states/eV/cell
Volume ... 24.12 Å³ per atom
Crystal system ... tetragonal

---

[2]
Computed, not measured: a geometry-optimized Th4Tc7Ge6 structure at the GGA-PBE level of DFT.

Unit cell a=7.4518 b=7.4518 c=7.4518 alpha=109.47 beta=109.47 gamma=109.47
Closest atoms and distances in Å follow each position.
Positions (direct):
Th1 0.5000 0.0000 0.0000  6 Tc 3.04, 6 Ge 3.10
Th2 0.5000 0.5000 0.5000  6 Tc 3.04, 6 Ge 3.10
Th3 0.0000 0.5000 0.0000  6 Tc 3.04, 6 Ge 3.10
Th4 0.0000 0.0000 0.5000  6 Tc 3.04, 6 Ge 3.10
Tc1 0.7500 0.5000 0.2500  4 Ge 2.67
Tc2 0.2500 0.7500 0.5000  4 Ge 2.67
Tc3 0.5000 0.7500 0.2500  4 Ge 2.67
Tc4 0.7500 0.2500 0.5000  4 Ge 2.67
Tc5 0.2500 0.5000 0.7500  4 Ge 2.67
Tc6 0.5000 0.2500 0.7500  4 Ge 2.67
Tc7 0.0000 0.0000 0.0000  6 Ge 2.73
Ge1 0.6831 0.0000 0.6831  5 Tc 2.67-2.73
Ge2 0.6831 0.6831 0.0000  5 Tc 2.67-2.73
Ge3 0.0000 0.3169 0.3169  5 Tc 2.67-2.73
Ge4 0.3169 0.0000 0.3169  5 Tc 2.67-2.73
Ge5 0.3169 0.3169 0.0000  5 Tc 2.67-2.73
Ge6 0.0000 0.6831 0.6831  5 Tc 2.67-2.73

Calculated formation energy ... -0.467 eV per atom
E_tot ... -8.111 eV per atom
Space-group type ... No. 229
D(E_F) ... 20.9 states/eV/cell
Volume ... 18.74 Å³ per atom
Crystal system ... cubic

---

[3]
Computed, not measured: a geometry-optimized Fe2CoCu structure at the GGA-PBE level of DFT.

Unit cell a=3.9746 b=3.9746 c=3.9746 alpha=60.00 beta=60.00 gamma=60.00
Closest atoms and distances in Å follow each position.
Positions (direct):
Co1 0.0000 0.0000 0.0000  8 Fe 2.43
Fe1 0.2500 0.2500 0.2500  4 Co 2.43, 4 Cu 2.43
Fe2 0.7500 0.7500 0.7500  4 Co 2.43, 4 Cu 2.43
Cu1 0.5000 0.5000 0.5000  8 Fe 2.43

Calculated formation energy ... 0.495 eV per atom
E_tot ... -6.537 eV per atom
Space-group type ... No. 225
D(E_F) ... 16.9 states/eV/cell
Volume ... 11.10 Å³ per atom
Crystal system ... cubic